# 1
First-principles (PBE) data for a geometry-optimized PrTe2I8 structure, as listed in Alexandria.

Lattice parameters (Å, degrees): 8.5226 9.1751 9.1751 59.08 69.85 69.85
Last column: nearest neighbours and their distance in Å.
Fractional positions:
I (0.7051, 0.2090, 0.2090)  1 Te 2.84
I (0.2220, 0.8113, 0.2778)  1 Pr 3.10
I (0.2220, 0.2778, 0.8113)  1 Pr 3.10
I (0.7780, 0.1887, 0.7222)  1 Pr 3.10
I (0.1734, 0.3019, 0.3019)  1 Te 2.72
I (0.7780, 0.7222, 0.1887)  1 Pr 3.10
I (0.8266, 0.6981, 0.6981)  1 Te 2.72
I (0.2949, 0.7910, 0.7910)  1 Te 2.84
Pr (0.0000, 0.0000, 0.0000)  6 I 3.10-3.29
Te (0.4463, 0.1392, 0.1392)  2 I 2.72-2.84
Te (0.5537, 0.8608, 0.8608)  2 I 2.72-2.84

Values from the calculation:
Its space group is C2/m, No. 12.

=====

# 2
First-principles (PBE) data for a geometry-optimized Pr3Te2I structure, as listed in Alexandria.

Lattice parameters (Å, degrees): 4.3102 4.3102 24.7230 90.00 90.00 120.00
Last column: nearest neighbours and their distance in Å.
Fractional positions:
Te (0.6667, 0.3333, 0.4203)  6 Pr 3.14-3.17
Te (0.3333, 0.6667, 0.9203)  6 Pr 3.14-3.17
Te (0.6667, 0.3333, 0.0797)  6 Pr 3.14-3.17
Te (0.3333, 0.6667, 0.5797)  6 Pr 3.14-3.17
Pr (0.3333, 0.6667, 0.1571)  3 Te 3.14, 3 I 3.39
Pr (0.6667, 0.3333, 0.8429)  3 Te 3.14, 3 I 3.39
Pr (0.0000, 0.0000, 0.0000)  6 Te 3.17
Pr (0.3333, 0.6667, 0.3429)  3 Te 3.14, 3 I 3.39
Pr (0.6667, 0.3333, 0.6571)  3 Te 3.14, 3 I 3.39
Pr (0.0000, 0.0000, 0.5000)  6 Te 3.17
I (0.0000, 0.0000, 0.2500)  6 Pr 3.39
I (0.0000, 0.0000, 0.7500)  6 Pr 3.39

Values from the calculation:
Its space group is P6_3/mmc, No. 194.

=====

# 3
First-principles (PBE) data for a geometry-optimized PrTeI structure, as listed in Alexandria.

Lattice parameters (Å, degrees): 3.9698 3.9698 7.8608 104.63 104.63 90.00
Last column: nearest neighbours and their distance in Å.
Fractional positions:
Te (0.2884, 0.2884, 0.5768)  4 Pr 3.24
Pr (0.6782, 0.6782, 0.3564)  4 Te 3.24, 4 I 3.52
I (0.0334, 0.0334, 0.0667)  4 Pr 3.52, 1 Te 3.75

Values from the calculation:
The distance to the lowest polymorph of the same formula is 213.9 meV per atom. Its space group is I4mm, No. 107.

=====

no.,total magnetization (μB per atom),ΔE_f (raw) (kJ/mol of atoms)
1,0.0000,-42
2,0.0000,-120
3,0.0000,-119